# 1
Entry from OQMD: crystalline Nd3Ho2Br3 at its relaxed geometry (GGA-PBE).

Cell lengths 8.445, 8.445, 8.445 Å; angles 43.51, 43.51, 43.51 degrees
Atoms (fractional coordinates):
Nd: 0.000 0.500 0.500
Nd: 0.500 0.000 0.500
Nd: 0.500 0.500 0.000
Ho: 0.193 0.193 0.193
Ho: 0.807 0.807 0.807
Br: 0.068 0.068 0.068
Br: 0.500 0.500 0.500
Br: 0.932 0.932 0.932

## Properties
Mass density, g/cm3: 6.4
Calculated total energy, eV/atom: -3.642
Space-group type: R-3m (166)



# 2
Entry from OQMD: crystalline Fe2SiPb at its relaxed geometry (GGA-PBE).

Cell lengths 6.283, 6.283, 6.283 Å; angles 90.00, 90.00, 90.00 degrees
Atoms (fractional coordinates):
Fe: 0.207 0.207 0.207
Fe: 0.207 0.207 0.793
Fe: 0.207 0.793 0.207
Fe: 0.207 0.793 0.793
Fe: 0.793 0.207 0.207
Fe: 0.793 0.207 0.793
Fe: 0.793 0.793 0.207
Fe: 0.793 0.793 0.793
Si: 0.000 0.000 0.000
Si: 0.000 0.000 0.500
Si: 0.000 0.500 0.000
Si: 0.500 0.000 0.000
Pb: 0.000 0.500 0.500
Pb: 0.500 0.000 0.500
Pb: 0.500 0.500 0.000
Pb: 0.500 0.500 0.500

## Properties
Mass density, g/cm3: 9.3
Calculated total energy, eV/atom: -6.152
Space-group type: Pm-3m (221)



# 3
Entry from OQMD: crystalline PuInW at its relaxed geometry (GGA-PBE).

Cell lengths 4.675, 4.675, 4.675 Å; angles 60.00, 60.00, 60.00 degrees
Atoms (fractional coordinates):
Pu: 0.000 0.000 0.000
In: 0.250 0.250 0.250
W: 0.500 0.500 0.500

## Properties
Distance to the lowest polymorph of the same formula, meV/atom: 0
Mass density, g/cm3: 12.5
Calculated total energy, eV/atom: -8.813
Space-group type: F-43m (216)



# 4
Entry from OQMD: crystalline YHoCu2B2C2 at its relaxed geometry (GGA-PBE).

Cell lengths 3.579, 3.579, 7.864 Å; angles 90.00, 90.00, 90.00 degrees
Atoms (fractional coordinates):
Y: 0.000 0.000 0.000
Ho: 0.500 0.500 0.677
Cu: 0.000 0.500 0.339
Cu: 0.500 0.000 0.339
B: 0.000 0.000 0.509
B: 0.500 0.500 0.167
C: 0.000 0.000 0.694
C: 0.500 0.500 0.982

## Properties
Mass density, g/cm3: 7.0
Calculated total energy, eV/atom: -6.633
Space-group type: P4mm (99)



# 5
Entry from OQMD: crystalline Gd3Mg2CdIr2Au at its relaxed geometry (GGA-PBE).

Cell lengths 4.003, 7.490, 7.490 Å; angles 119.36, 90.00, 90.00 degrees
Atoms (fractional coordinates):
Gd: 0.000 0.000 0.000
Gd: 0.000 0.162 0.573
Gd: 0.000 0.573 0.162
Mg: 0.500 0.578 0.834
Mg: 0.500 0.834 0.578
Cd: 0.500 0.323 0.323
Ir: 0.500 0.240 0.898
Ir: 0.500 0.898 0.240
Au: 0.000 0.594 0.594

## Properties
Mass density, g/cm3: 10.3
Calculated total energy, eV/atom: -4.986
Space-group type: Amm2 (38)



# 6
Entry from OQMD: crystalline K2AgAu2 at its relaxed geometry (GGA-PBE).

Cell lengths 6.389, 6.389, 6.389 Å; angles 134.19, 127.90, 71.86 degrees
Atoms (fractional coordinates):
K: 0.196 0.196 0.000
K: 0.804 0.804 0.000
Ag: 0.500 0.000 0.500
Au: 0.247 0.500 0.747
Au: 0.753 0.500 0.253

## Properties
Mass density, g/cm3: 6.7
Calculated total energy, eV/atom: -2.570
Space-group type: Immm (71)



# 7
Entry from OQMD: crystalline Ac at its relaxed geometry (GGA-PBE).

Cell lengths 3.890, 3.890, 3.890 Å; angles 109.47, 109.47, 109.47 degrees
Atoms (fractional coordinates):
Ac: 0.000 0.000 0.000

## Properties
Distance to the lowest polymorph of the same formula, meV/atom: 135
Mass density, g/cm3: 8.3
Calculated total energy, eV/atom: -3.971
Space-group type: Im-3m (229)



# 8
Entry from OQMD: crystalline YZrZnCo2 at its relaxed geometry (GGA-PBE).

Cell lengths 5.150, 5.150, 5.150 Å; angles 133.76, 117.39, 81.27 degrees
Atoms (fractional coordinates):
Y: 0.000 0.000 0.000
Zr: 0.419 0.419 0.000
Zn: 0.703 0.203 0.500
Co: 0.427 0.713 0.714
Co: 0.998 0.713 0.286

## Properties
Mass density, g/cm3: 7.1
Calculated total energy, eV/atom: -6.381
Space-group type: Imm2 (44)



# 9
Entry from OQMD: crystalline TbPaCo at its relaxed geometry (GGA-PBE).

Cell lengths 4.581, 4.581, 4.581 Å; angles 60.00, 60.00, 60.00 degrees
Atoms (fractional coordinates):
Tb: 0.000 0.000 0.000
Pa: 0.750 0.750 0.750
Co: 0.500 0.500 0.500

## Properties
Distance to the lowest polymorph of the same formula, meV/atom: 0
Mass density, g/cm3: 11.0
Calculated total energy, eV/atom: -6.325
Space-group type: F-43m (216)



# 10
Entry from OQMD: crystalline SmNiW at its relaxed geometry (GGA-PBE).

Cell lengths 4.527, 4.527, 4.527 Å; angles 60.00, 60.00, 60.00 degrees
Atoms (fractional coordinates):
Sm: 0.000 0.000 0.000
Ni: 0.750 0.750 0.750
W: 0.250 0.250 0.250

## Properties
Distance to the lowest polymorph of the same formula, meV/atom: 896
Mass density, g/cm3: 9.9
Calculated total energy, eV/atom: -6.080
Space-group type: F-43m (216)